## CdCo2Ni (PBE-GGA)

Data for a relaxed CdCo2Ni crystal.

Results
**ΔH_f (0 K)**: 0.277 eV/atom
**Polymorph energy (0 for the lowest one)**: 120.4 meV per atom

abc: 3.794 3.794 7.297
angles: 90.00 90.00 90.00
Space group I-4m2 (No. 119)
Inequivalent atoms, fractional coordinates:
1 Cd 0.000 0.000 0.000 (multiplicity 2)
2 Co 0.000 0.000 0.500 (multiplicity 2)
3 Co 0.000 0.500 0.250 (multiplicity 2)
4 Ni 0.000 0.500 0.750 (multiplicity 2)